(w)
Be2BiMo2 | PBE-GGA | relaxed

Geometry as POSCAR:
```
Be2BiMo2
1.0
-4.859 -4.656 -1.964
5.014 -4.780 -1.074
-0.288 -0.989 3.056
Be Mo Bi
4 4 2
Direct
0.663 0.837 0.500
0.337 0.163 0.500
0.837 0.337 0.500
0.163 0.663 0.500
0.121 0.379 0.000
0.379 0.879 0.000
0.879 0.621 0.000
0.621 0.121 0.000
0.500 0.500 0.000
0.000 0.000 0.000
```

Values from the calculation:
volume: 79 Å³/f.u.
Fermi-level density of states: 6.1 states/eV per cell
magnetic moment: 0.00 μB/atom
calculated density: 8.8 g cm⁻³



(x)
Be2BiMo2 | PBE-GGA | relaxed

Geometry as POSCAR:
```
Be2BiMo2
1.0
6.436 0.000 0.000
0.000 6.436 0.000
0.000 0.000 3.406
Be Mo Bi
4 4 2
Direct
0.112 0.388 0.000
0.388 0.888 0.000
0.888 0.612 0.000
0.612 0.112 0.000
0.328 0.172 0.500
0.172 0.672 0.500
0.672 0.828 0.500
0.828 0.328 0.500
0.500 0.500 0.000
0.000 0.000 0.000
```

Values from the calculation:
volume: 71 Å³/f.u.
Fermi-level density of states: 7.2 states/eV per cell
magnetic moment: 0.00 μB/atom
calculated density: 9.9 g cm⁻³



The most stable of them is (x).



(w)
Be2BiMo2 | PBE-GGA | relaxed

Geometry as POSCAR:
```
Be2BiMo2
1.0
3.705 0.000 0.000
0.000 3.705 0.000
1.852 1.852 5.825
Be Mo Bi
2 2 1
Direct
0.600 0.600 0.800
0.400 0.400 0.200
0.250 0.750 0.500
0.750 0.250 0.500
0.000 0.000 0.000
```

Values from the calculation:
volume: 80 Å³/f.u.
Fermi-level density of states: 2.9 states/eV per cell
magnetic moment: 0.00 μB/atom
calculated density: 8.7 g cm⁻³



(x)
Be2BiMo2 | PBE-GGA | relaxed

Geometry as POSCAR:
```
Be2BiMo2
1.0
4.446 0.000 0.000
0.000 4.446 0.000
2.223 2.223 4.062
Mo Be Bi
2 2 1
Direct
0.340 0.340 0.319
0.660 0.660 0.681
0.250 0.750 0.500
0.750 0.250 0.500
0.000 0.000 0.000
```

Values from the calculation:
volume: 80 Å³/f.u.
Fermi-level density of states: 2.2 states/eV per cell
magnetic moment: 0.00 μB/atom
calculated density: 8.7 g cm⁻³



The most stable of them is (w).



(w)
BeBiN2 | PBE-GGA | relaxed

Geometry as POSCAR:
```
BeBiN2
1.0
1.842 4.726 2.843
2.005 1.913 5.111
4.598 2.392 2.635
Bi Be N
1 1 2
Direct
0.500 0.500 0.500
0.000 0.000 0.000
0.094 0.094 0.094
0.906 0.906 0.906
```

Values from the calculation:
volume: 61 Å³/f.u.
Fermi-level density of states: 1.9 states/eV per cell
magnetic moment: 0.00 μB/atom
calculated density: 6.6 g cm⁻³



(x)
BeBiN2 | PBE-GGA | relaxed

Geometry as POSCAR:
```
BeBiN2
1.0
4.676 0.000 0.000
0.000 4.676 0.000
2.338 2.338 4.660
Be N Bi
2 4 2
Direct
0.250 0.750 0.500
0.500 0.500 0.000
0.875 0.781 0.750
0.219 0.625 0.250
0.531 0.125 0.250
0.375 0.469 0.750
0.000 0.000 0.000
0.750 0.250 0.500
```

Values from the calculation:
volume: 51 Å³/f.u.
Fermi-level density of states: 4.9 states/eV per cell
magnetic moment: 0.00 μB/atom
calculated density: 8.0 g cm⁻³



The most stable of them is (x).



(w)
BeBiSN2 | PBE-GGA | relaxed

Geometry as POSCAR:
```
BeBiSN2
1.0
-1.496 3.257 2.197
-2.790 -2.536 1.859
3.683 -1.061 4.081
Be Bi S N
1 1 1 2
Direct
0.500 0.500 0.500
0.000 0.000 0.000
0.000 0.000 0.500
0.500 0.000 0.000
0.000 0.500 0.000
```

Values from the calculation:
volume: 99 Å³/f.u.
Fermi-level density of states: 3.3 states/eV per cell
magnetic moment: 0.33 μB/atom
calculated density: 4.7 g cm⁻³



(x)
BeBiSN2 | PBE-GGA | relaxed

Geometry as POSCAR:
```
BeBiSN2
1.0
3.845 0.000 0.000
0.000 3.845 0.000
0.000 0.000 4.589
Bi S Be N
1 1 1 2
Direct
0.500 0.500 0.500
0.000 0.000 0.500
0.000 0.000 0.000
0.500 0.000 0.000
0.000 0.500 0.000
```

Values from the calculation:
volume: 68 Å³/f.u.
Fermi-level density of states: 3.1 states/eV per cell
magnetic moment: 0.47 μB/atom
calculated density: 6.8 g cm⁻³



The most stable of them is (x).



(w)
BeBiSe2N | PBE-GGA | relaxed

Geometry as POSCAR:
```
BeBiSe2N
1.0
-0.314 0.624 -5.467
-5.214 -1.783 0.096
-1.372 4.041 0.540
Bi Be Se N
1 1 2 1
Direct
0.000 0.000 0.000
0.500 0.500 0.500
0.000 0.500 0.000
0.500 0.000 0.000
0.000 0.000 0.500
```

Values from the calculation:
volume: 131 Å³/f.u.
Fermi-level density of states: 3.6 states/eV per cell
magnetic moment: 0.24 μB/atom
calculated density: 5.0 g cm⁻³



(x)
BeBiSe2N | PBE-GGA | relaxed

Geometry as POSCAR:
```
BeBiSe2N
1.0
-4.505 -2.764 0.297
1.744 -3.250 -3.797
1.323 -1.915 2.247
Be Se N Bi
1 2 1 1
Direct
0.000 0.000 0.000
0.500 0.000 0.000
0.000 0.500 0.000
0.000 0.000 0.500
0.500 0.500 0.500
```

Values from the calculation:
volume: 91 Å³/f.u.
Fermi-level density of states: 5.3 states/eV per cell
magnetic moment: 0.00 μB/atom
calculated density: 7.1 g cm⁻³



The most stable of them is (x).



(w)
Na3BeBi | PBE-GGA | relaxed

Geometry as POSCAR:
```
Na3BeBi
1.0
-3.049 4.948 1.476
0.515 -1.414 5.804
5.137 3.078 0.294
Na Bi Be
3 1 1
Direct
0.000 0.500 0.000
0.500 0.000 0.000
0.000 0.000 0.500
0.000 0.000 0.000
0.500 0.500 0.500
```

Values from the calculation:
volume: 216 Å³/f.u.
Fermi-level density of states: 0.0 states/eV per cell
magnetic moment: 0.00 μB/atom
calculated density: 2.2 g cm⁻³



(x)
Na3BeBi | PBE-GGA | relaxed

Geometry as POSCAR:
```
Na3BeBi
1.0
5.286 0.000 0.000
0.000 5.286 0.000
0.000 0.000 5.286
Na Be Bi
3 1 1
Direct
0.000 0.000 0.500
0.000 0.500 0.000
0.500 0.000 0.000
0.000 0.000 0.000
0.500 0.500 0.500
```

Values from the calculation:
volume: 148 Å³/f.u.
Fermi-level density of states: 1.6 states/eV per cell
magnetic moment: 0.00 μB/atom
calculated density: 3.2 g cm⁻³



The most stable of them is (x).